Material: In2CoI2
Method: DFT, meta-GGA SCAN
State: single point on PBEsol structure

a = 6.251 Å, b = 6.251 Å, c = 6.251 Å
α = 116.00°, β = 116.00°, γ = 97.09°
Sites, in units of the cell vectors:
In  0.250  0.750  0.500
In  0.750  0.250  0.500
Co  0.000  0.000  0.000
I  0.288  0.288  0.000
I  0.712  0.712  0.000

Results
V, Å³ per cell: 181.7
Formation energy from raw total energies, kJ per mole of atoms: 26.5
Magnetization, μB per atom: 0.328
Mass density, g/cm³: 5.0
Final energy, eV per atom: -31.24
Space group: I4/mmm
DOS(E_F), states/eV/cell: 1.62